A plane-wave DFT calculation with PBE was carried out for AlSbMo4 after structural relaxation.

For the spin magnetization, the calculation gives 0.000 μB per atom. As for the total energy: -8.18 eV/atom. As for the density of states at the Fermi level: 4.01 states/eV/f.u. Its symmetry is F-43m. The crystal system is cubic.

a = 5.2978 Å, b = 5.2978 Å, c = 5.2978 Å
α = 60.00°, β = 60.00°, γ = 60.00°
Positions (direct):
Al 0.0000 0.0000 0.0000
Sb 0.2500 0.2500 0.2500
Mo 0.6253 0.6253 0.1240
Mo 0.6253 0.1240 0.6253
Mo 0.6253 0.6253 0.6253
Mo 0.1240 0.6253 0.6253